# Th2SnIr | Alexandria | PBE-GGA | optimized geometry
# Fermi-level density of states ... 2.99 states/eV/f.u.
# Raw total energy ... -7.611 eV per atom
# Symmetry ... P-1
# Energy of formation from the pure elements ... -0.6856 eV/atom
data_Th2SnIr
_chemical_formula_sum 'Th4 Sn2 Ir2'
_cell_length_a 5.693
_cell_length_b 3.920
_cell_length_c 10.542
_cell_angle_alpha 101.03
_cell_angle_beta 103.15
_cell_angle_gamma 89.78
_symmetry_space_group_name_H-M 'P 1'
_symmetry_Int_Tables_number 1
loop_
_symmetry_equiv_pos_as_xyz
'x,y,z'
loop_
_atom_site_label
_atom_site_type_symbol
_atom_site_fract_x
_atom_site_fract_y
_atom_site_fract_z
Th1 Th 0.170 0.073 0.042
Sn1 Sn 0.719 0.793 0.489
Th2 Th 0.689 0.438 0.766
Ir1 Ir 0.644 0.039 0.967
Th3 Th 0.732 0.644 0.174
Ir2 Ir 0.258 0.677 0.249
Th4 Th 0.213 0.279 0.450
Sn2 Sn 0.184 0.924 0.727